Entry 1:
PBE BaGeBIr2, relaxed; E_tot = -33.57 eV/cell; total magnetization = 0.003 μB/cell
1.0
1.016 5.298 3.965
-4.478 3.971 3.001
1.744 -6.354 -1.190
B Ba Ge Ir
1 1 1 2
Direct
0.680 0.680 0.000
0.002 0.002 0.000
0.352 0.352 0.000
0.733 0.233 0.500
0.233 0.733 0.500



Entry 2:
PBE TbAsPtO, relaxed; total magnetization = 0.009 μB/cell; distance to the lowest polymorph of the same formula = 0.420 eV per atom
1.0
-3.577 3.148 3.520
-4.203 -2.122 -3.596
-0.395 -3.588 2.692
As O Pt Tb
2 2 2 2
Direct
0.319 0.319 0.007
0.793 0.793 0.994
0.791 0.109 0.000
0.109 0.791 0.000
0.692 0.692 0.490
0.305 0.305 0.506
0.786 0.204 0.502
0.204 0.786 0.502



Entry 3:
PBE Cu2Ag3, relaxed; energy of formation from the pure elements = 0.07 eV/atom; distance to the lowest polymorph of the same formula = 0.034 eV per atom
1.0
2.867 0.000 0.000
0.000 2.867 0.000
0.000 0.000 18.850
Ag Cu
6 4
Direct
0.500 0.000 0.057
0.500 0.000 0.249
0.000 0.500 0.364
0.500 0.000 0.636
0.000 0.500 0.751
0.000 0.500 0.943
0.000 0.500 0.153
0.500 0.000 0.461
0.000 0.500 0.539
0.500 0.000 0.847



Entry 4:
PBE CsPtWAu, relaxed; total magnetization = 0.006 μB/cell; distance to the lowest polymorph of the same formula = 0.000 eV per atom
1.0
0.000 3.430 3.430
3.430 0.000 3.430
3.430 3.430 0.000
Au Cs Pt W
1 1 1 1
Direct
0.750 0.750 0.750
0.000 0.000 0.000
0.500 0.500 0.500
0.250 0.250 0.250



Entry 5:
PBE TbPdCl3, relaxed; E_tot = -44.91 eV/cell; total magnetization = 0.000 μB/cell
1.0
-2.822 0.484 6.050
-2.160 -4.614 -4.340
4.242 -4.159 2.311
Cl Pd Tb
6 2 2
Direct
0.627 0.000 0.243
0.373 0.373 0.243
0.000 0.627 0.243
0.373 0.000 0.757
0.000 0.373 0.757
0.627 0.627 0.757
0.000 0.000 0.275
0.000 0.000 0.725
0.667 0.333 0.500
0.333 0.667 0.500



Entry 6:
PBE Er2Pd5Pt, relaxed; energy of formation from the pure elements = -0.94 eV/atom; total magnetization = 0.002 μB/cell
1.0
-3.306 -1.359 4.543
5.952 -9.817 1.395
2.619 1.942 2.487
Er Pd Pt
4 10 2
Direct
0.749 0.125 0.500
0.249 0.375 0.500
0.751 0.625 0.500
0.251 0.875 0.500
0.500 0.000 0.000
0.998 0.250 0.000
0.498 0.250 0.000
0.000 0.500 0.000
0.502 0.750 0.000
0.002 0.750 0.000
0.248 0.125 0.500
0.748 0.375 0.500
0.252 0.625 0.500
0.752 0.875 0.500
0.000 0.000 0.000
0.500 0.500 0.000